[1]
Compound: Nb2AgSn2
Source: Alexandria
Functional: PBE
Structure: optimized geometry

Values from the calculation:
Distance to the lowest polymorph of the same formula in eV/atom: 0.015
Formation energy from the elements in kcal/mol of atoms: 3.58

a = 8.366 Å, b = 8.366 Å, c = 3.049 Å
α = 90.00°, β = 90.00°, γ = 90.00°
Fractional coordinates of all 10 atoms:
Nb 0.116 0.384 0.000
Nb 0.384 0.884 0.000
Nb 0.616 0.116 0.000
Nb 0.884 0.616 0.000
Ag 0.000 0.000 0.500
Ag 0.500 0.500 0.500
Sn 0.178 0.678 0.500
Sn 0.322 0.178 0.500
Sn 0.678 0.822 0.500
Sn 0.822 0.322 0.500

[2]
Compound: NbAgSn2
Source: Alexandria
Functional: PBE
Structure: optimized geometry

Values from the calculation:
Distance to the lowest polymorph of the same formula in eV/atom: 0.000
Formation energy from the elements in kcal/mol of atoms: 2.13

a = 10.282 Å, b = 10.282 Å, c = 10.282 Å
α = 17.96°, β = 17.96°, γ = 17.96°
Fractional coordinates of all 4 atoms:
Nb 0.000 0.000 0.000
Ag 0.500 0.500 0.500
Sn 0.410 0.410 0.410
Sn 0.590 0.590 0.590

[3]
Compound: NbAgSn3
Source: Alexandria
Functional: PBE
Structure: optimized geometry

Values from the calculation:
Distance to the lowest polymorph of the same formula in eV/atom: 0.000
Formation energy from the elements in kcal/mol of atoms: 11.42

a = 5.382 Å, b = 5.382 Å, c = 5.382 Å
α = 90.00°, β = 90.00°, γ = 90.00°
Fractional coordinates of all 5 atoms:
Nb 0.000 0.000 0.000
Ag 0.500 0.500 0.500
Sn 0.000 0.000 0.500
Sn 0.000 0.500 0.000
Sn 0.500 0.000 0.000

[4]
Compound: NbAgSn2
Source: Alexandria
Functional: PBE
Structure: optimized geometry

Values from the calculation:
Distance to the lowest polymorph of the same formula in eV/atom: 0.009
Formation energy from the elements in kcal/mol of atoms: 2.33

a = 4.837 Å, b = 4.837 Å, c = 3.518 Å
α = 90.00°, β = 90.00°, γ = 90.00°
Fractional coordinates of all 4 atoms:
Nb 0.000 0.000 0.000
Ag 0.500 0.500 0.000
Sn 0.000 0.500 0.500
Sn 0.500 0.000 0.500

[5]
Compound: Nb2AgSn2
Source: Alexandria
Functional: PBE
Structure: optimized geometry

Values from the calculation:
Distance to the lowest polymorph of the same formula in eV/atom: 0.247
Formation energy from the elements in kcal/mol of atoms: 8.93

a = 7.641 Å, b = 7.641 Å, c = 7.641 Å
α = 149.97°, β = 149.97°, γ = 42.99°
Fractional coordinates of all 5 atoms:
Nb 0.250 0.750 0.500
Nb 0.750 0.250 0.500
Ag 0.000 0.000 0.000
Sn 0.401 0.401 0.000
Sn 0.599 0.599 0.000

[6]
Compound: NbAg2Sn2
Source: Alexandria
Functional: PBE
Structure: optimized geometry

Values from the calculation:
Formation energy from the elements in kcal/mol of atoms: 6.26

a = 7.996 Å, b = 7.996 Å, c = 3.271 Å
α = 90.00°, β = 90.00°, γ = 90.00°
Fractional coordinates of all 10 atoms:
Nb 0.000 0.000 0.000
Nb 0.500 0.500 0.000
Ag 0.133 0.367 0.500
Ag 0.367 0.867 0.500
Ag 0.633 0.133 0.500
Ag 0.867 0.633 0.500
Sn 0.167 0.667 0.000
Sn 0.333 0.167 0.000
Sn 0.667 0.833 0.000
Sn 0.833 0.333 0.000

[7]
Compound: NbAgSn
Source: Alexandria
Functional: PBE
Structure: optimized geometry

Values from the calculation:
Formation energy from the elements in kcal/mol of atoms: 2.48

a = 3.830 Å, b = 3.830 Å, c = 8.189 Å
α = 90.00°, β = 90.00°, γ = 90.00°
Fractional coordinates of all 6 atoms:
Nb 0.250 0.250 0.104
Nb 0.750 0.750 0.896
Ag 0.250 0.750 0.500
Ag 0.750 0.250 0.500
Sn 0.250 0.250 0.760
Sn 0.750 0.750 0.240

[8]
Compound: NbAgSn2
Source: Alexandria
Functional: PBE
Structure: optimized geometry

Values from the calculation:
Distance to the lowest polymorph of the same formula in eV/atom: 0.222
Formation energy from the elements in kcal/mol of atoms: 7.25

a = 4.922 Å, b = 4.922 Å, c = 4.922 Å
α = 60.00°, β = 60.00°, γ = 60.00°
Fractional coordinates of all 4 atoms:
Nb 0.000 0.000 0.000
Ag 0.500 0.500 0.500
Sn 0.250 0.250 0.250
Sn 0.750 0.750 0.750

[9]
Compound: NbAgSn2
Source: Alexandria
Functional: PBE
Structure: optimized geometry

Values from the calculation:
Distance to the lowest polymorph of the same formula in eV/atom: 0.348
Formation energy from the elements in kcal/mol of atoms: 10.14

a = 6.207 Å, b = 6.207 Å, c = 6.207 Å
α = 104.54°, β = 104.54°, γ = 119.85°
Fractional coordinates of all 8 atoms:
Nb 0.000 0.000 0.000
Nb 0.750 0.250 0.500
Ag 0.250 0.750 0.500
Ag 0.500 0.500 0.000
Sn 0.139 0.625 0.014
Sn 0.375 0.389 0.514
Sn 0.611 0.125 0.986
Sn 0.875 0.861 0.486

[10]
Compound: NbAg3Sn
Source: Alexandria
Functional: PBE
Structure: optimized geometry

Values from the calculation:
Distance to the lowest polymorph of the same formula in eV/atom: 0.156
Formation energy from the elements in kcal/mol of atoms: 29.91

a = 5.180 Å, b = 5.180 Å, c = 5.180 Å
α = 90.00°, β = 90.00°, γ = 90.00°
Fractional coordinates of all 5 atoms:
Nb 0.000 0.000 0.000
Ag 0.000 0.000 0.500
Ag 0.000 0.500 0.000
Ag 0.500 0.000 0.000
Sn 0.500 0.500 0.500

[11]
Compound: TaNbAg2Sn
Source: Alexandria
Functional: PBE
Structure: optimized geometry

Values from the calculation:
Formation energy from the elements in kcal/mol of atoms: 35.31

a = 4.890 Å, b = 4.890 Å, c = 5.250 Å
α = 90.00°, β = 90.00°, γ = 90.00°
Fractional coordinates of all 5 atoms:
Ta 0.000 0.000 0.000
Nb 0.500 0.500 0.000
Ag 0.000 0.500 0.500
Ag 0.500 0.000 0.500
Sn 0.000 0.000 0.500

[12]
Compound: Nb2AgSnTe
Source: Alexandria
Functional: PBE
Structure: optimized geometry

Values from the calculation:
Uncorrected formation energy in eV/atom: 1.3876

a = 5.096 Å, b = 5.096 Å, c = 5.730 Å
α = 90.00°, β = 90.00°, γ = 90.00°
Fractional coordinates of all 5 atoms:
Nb 0.000 0.500 0.000
Nb 0.500 0.000 0.000
Ag 0.000 0.000 0.500
Sn 0.500 0.500 0.500
Te 0.500 0.500 0.000

no.,size of the total moment (μB/f.u.)
1,0.0
2,0.0
3,0.0
4,0.0
5,0.0
6,0.0
7,0.0
8,0.0
9,0.0
10,1.1
11,1.5
12,1.7